DFT (PBE) results for crystalline Al2CrSiTe at its relaxed geometry.

The space group is P4/mmm (No. 123) and the conventional cell measures 5.163, 5.163 and 5.193 Å, with angles of 90.00, 90.00 and 90.00 degrees. Symmetry generates all atoms from Al at (0.000, 0.500, 0.000), Cr at (0.000, 0.000, 0.500), Si at (0.500, 0.500, 0.500) and Te at (0.500, 0.500, 0.000).

The density of states at the Fermi level is 1.49 states/eV per atom. As for the total magnetization: 0.2 μB per formula unit. The uncorrected formation energy comes out at 1.87 eV per atom.

***

DFT (PBE) results for crystalline AlCr2SiW at its relaxed geometry.

The space group is P4/mmm (No. 123) and the conventional cell measures 4.729, 4.729 and 4.713 Å, with angles of 90.00, 90.00 and 90.00 degrees. Symmetry generates all atoms from Al at (0.000, 0.000, 0.000), Cr at (0.000, 0.500, 0.500), Si at (0.500, 0.500, 0.000) and W at (0.500, 0.500, 0.500).

The density of states at the Fermi level is 0.64 states/eV per atom. As for the total magnetization: 5.5 μB per formula unit. The uncorrected formation energy comes out at 1.27 eV per atom.

***

DFT (PBE) results for crystalline AlCrSn at its relaxed geometry.

The space group is P2/m (No. 10) and the conventional cell measures 4.318, 3.004 and 8.464 Å, with angles of 90.00, 94.16 and 90.00 degrees. Symmetry generates all atoms from Al at (0.191, 0.000, 0.135), Cr at (0.318, 0.500, 0.903) and Sn at (0.267, 0.000, 0.622).

The density of states at the Fermi level is 0.46 states/eV per atom. As for the total magnetization: 0.0 μB per formula unit. The formation energy from the elements is 64 meV/atom. Its energy above the most stable polymorph in this dataset is 3.0 kJ per mole of atoms.

***

DFT (PBE) results for crystalline AlCrSn at its relaxed geometry.

The space group is Imma (No. 74) and the conventional cell measures 2.981, 4.279 and 17.124 Å, with angles of 90.00, 90.00 and 90.00 degrees. Symmetry generates all atoms from Al at (0.000, 0.250, 0.184), Cr at (0.000, 0.250, 0.698) and Sn at (0.000, 0.250, 0.940).

The density of states at the Fermi level is 0.70 states/eV per atom. As for the total magnetization: 0.1 μB per formula unit. The formation energy from the elements is 32 meV/atom. Its energy above the most stable polymorph in this dataset is 0.0 kJ per mole of atoms.

***

DFT (PBE) results for crystalline AlCr3Sn at its relaxed geometry.

The space group is Pm-3m (No. 221) and the conventional cell measures 5.045, 5.045 and 5.045 Å, with angles of 90.00, 90.00 and 90.00 degrees. Symmetry generates all atoms from Al at (0.000, 0.000, 0.000), Cr at (0.000, 0.500, 0.500) and Sn at (0.500, 0.500, 0.500).

The density of states at the Fermi level is 1.16 states/eV per atom. As for the total magnetization: 11.8 μB per formula unit. The formation energy from the elements is 1437 meV/atom. Its energy above the most stable polymorph in this dataset is 39.2 kJ per mole of atoms.

***

DFT (PBE) results for crystalline AlCr3Sn at its relaxed geometry.

The space group is Pm-3m (No. 221) and the conventional cell measures 4.553, 4.553 and 4.553 Å, with angles of 90.00, 90.00 and 90.00 degrees. Symmetry generates all atoms from Al at (0.000, 0.000, 0.000), Cr at (0.000, 0.000, 0.500) and Sn at (0.500, 0.500, 0.500).

The density of states at the Fermi level is 0.75 states/eV per atom. As for the total magnetization: 8.6 μB per formula unit. The formation energy from the elements is 1031 meV/atom. Its energy above the most stable polymorph in this dataset is 0.0 kJ per mole of atoms.

***

DFT (PBE) results for crystalline AlCrSn at its relaxed geometry.

The space group is C2/m (No. 12) and the conventional cell measures 25.299, 2.965 and 2.979 Å, with angles of 90.00, 90.01 and 90.00 degrees. Symmetry generates all atoms from Al at (0.166, 0.000, 0.250), Cr at (0.226, 0.500, 0.750) and Sn at (0.060, 0.000, 0.754).

The density of states at the Fermi level is 0.74 states/eV per atom. As for the total magnetization: 0.0 μB per formula unit. The formation energy from the elements is 33 meV/atom. Its energy above the most stable polymorph in this dataset is 0.0 kJ per mole of atoms.

***

DFT (PBE) results for crystalline AlCrSn at its relaxed geometry.

The space group is C2 (No. 5) and the conventional cell measures 4.213, 4.211 and 12.666 Å, with angles of 90.00, 93.16 and 90.00 degrees. Symmetry generates all atoms from Al at (0.225, 0.000, 0.331), Cr at (0.242, 0.502, 0.453) and Sn at (0.039, 0.207, 0.879).

The density of states at the Fermi level is 0.74 states/eV per atom. As for the total magnetization: 0.0 μB per formula unit. The formation energy from the elements is 41 meV/atom. Its energy above the most stable polymorph in this dataset is 0.8 kJ per mole of atoms.

***

DFT (PBE) results for crystalline AlCrSn2 at its relaxed geometry.

The space group is I4_1/amd (No. 141, origin choice 2) and the conventional cell measures 9.739, 9.739 and 4.826 Å, with angles of 90.00, 90.00 and 90.00 degrees. Symmetry generates all atoms from Al at (0.000, 0.250, 0.375), Cr at (0.000, 0.250, 0.875) and Sn at (0.000, 0.000, 0.000).

The density of states at the Fermi level is 1.73 states/eV per atom. As for the total magnetization: 0.0 μB per formula unit. The formation energy from the elements is 374 meV/atom.

***

DFT (PBE) results for crystalline AlCrSn at its relaxed geometry.

The space group is I4/mmm (No. 139) and the conventional cell measures 3.031, 3.031 and 23.892 Å, with angles of 90.00, 90.00 and 90.00 degrees. Symmetry generates all atoms from Al at (0.000, 0.000, 0.165), Cr at (0.000, 0.000, 0.277) and Sn at (0.000, 0.000, 0.431).

The density of states at the Fermi level is 0.49 states/eV per atom. As for the total magnetization: 0.0 μB per formula unit. The formation energy from the elements is 68 meV/atom. Its energy above the most stable polymorph in this dataset is 3.4 kJ per mole of atoms.

***

DFT (PBE) results for crystalline AlCrSn at its relaxed geometry.

The space group is Pm (No. 6) and the conventional cell measures 5.736, 3.186 and 6.525 Å, with angles of 90.00, 114.26 and 90.00 degrees. Symmetry generates all atoms from Al at (0.000, 0.000, 0.000), Al at (0.187, 0.500, 0.763), Cr at (0.677, 0.500, 0.724), Cr at (0.813, 0.000, 0.544), Sn at (0.284, 0.000, 0.444) and Sn at (0.640, 0.500, 0.151).

The density of states at the Fermi level is 0.62 states/eV per atom. As for the total magnetization: 0.0 μB per formula unit. The formation energy from the elements is 148 meV/atom. Its energy above the most stable polymorph in this dataset is 11.1 kJ per mole of atoms.

***

DFT (PBE) results for crystalline AlCrSn at its relaxed geometry.

The space group is Amm2 (No. 38) and the conventional cell measures 3.002, 5.788 and 12.495 Å, with angles of 90.00, 90.00 and 90.00 degrees. Symmetry generates all atoms from Al at (0.000, 0.000, 0.000), Al at (0.000, 0.000, 0.463), Cr at (0.500, 0.189, 0.855), Sn at (0.000, 0.000, 0.223) and Sn at (0.000, 0.000, 0.685).

The density of states at the Fermi level is 0.70 states/eV per atom. As for the total magnetization: 0.0 μB per formula unit. The formation energy from the elements is 135 meV/atom. Its energy above the most stable polymorph in this dataset is 9.9 kJ per mole of atoms.

***

DFT (PBE) results for crystalline SrAlCr at its relaxed geometry.

The space group is F-43m (No. 216) and the conventional cell measures 7.320, 7.320 and 7.320 Å, with angles of 90.00, 90.00 and 90.00 degrees. Symmetry generates all atoms from Sr at (0.000, 0.000, 0.000), Al at (0.250, 0.250, 0.750) and Cr at (0.250, 0.250, 0.250).

The density of states at the Fermi level is 1.24 states/eV per atom. As for the total magnetization: 3.7 μB per formula unit. The formation energy from the elements is 1111 meV/atom. Its energy above the most stable polymorph in this dataset is 76.3 kJ per mole of atoms.